(1)
MgCd2Pt2, relaxed, DFT PBE; uncorrected energy = -3.52 eV/atom; energy of formation from the pure elements = -415.3 meV per atom; N(E_F) = 1.91 states/eV/f.u.; calculated volume = 191.6 Å³ per cell; space-group type = P4/mbm
1.0
7.006 0.000 0.000
0.000 7.006 0.000
0.000 0.000 3.903
Mg Cd Pt
2 4 4
direct
0.000 0.000 0.000
0.500 0.500 0.000
0.162 0.338 0.500
0.338 0.838 0.500
0.662 0.162 0.500
0.838 0.662 0.500
0.138 0.638 0.000
0.362 0.138 0.000
0.638 0.862 0.000
0.862 0.362 0.000



(2)
MgCdPt, relaxed, DFT PBE; uncorrected energy = -3.30 eV/atom; energy of formation from the pure elements = -453.0 meV per atom; N(E_F) = 1.94 states/eV/f.u.; calculated volume = 258.7 Å³ per cell; space-group type = F-43m
1.0
6.372 0.000 0.000
0.000 6.372 0.000
0.000 0.000 6.372
Mg Cd Pt
4 4 4
direct
0.000 0.000 0.000
0.000 0.500 0.500
0.500 0.000 0.500
0.500 0.500 0.000
0.000 0.000 0.500
0.000 0.500 0.000
0.500 0.000 0.000
0.500 0.500 0.500
0.250 0.250 0.250
0.250 0.750 0.750
0.750 0.250 0.750
0.750 0.750 0.250



(3)
Mg4Cd3Pt, relaxed, DFT PBE; uncorrected energy = -2.21 eV/atom; energy of formation from the pure elements = -309.9 meV per atom; N(E_F) = 2.80 states/eV/f.u.; calculated volume = 160.6 Å³ per cell; space-group type = P4/mmm
1.0
3.280 0.000 0.000
0.000 3.280 0.000
0.000 0.000 14.932
Mg Cd Pt
4 3 1
direct
0.000 0.000 0.099
0.000 0.000 0.365
0.000 0.000 0.635
0.000 0.000 0.901
0.500 0.500 0.232
0.500 0.500 0.500
0.500 0.500 0.768
0.500 0.500 0.000



(4)
Mg2CdPt3, relaxed, DFT PBE; uncorrected energy = -4.40 eV/atom; energy of formation from the pure elements = -697.0 meV per atom; N(E_F) = 2.02 states/eV/f.u.; calculated volume = 98.4 Å³ per cell; space-group type = P4/mmm
1.0
2.974 0.000 0.000
0.000 2.974 0.000
0.000 0.000 11.130
Mg Cd Pt
2 1 3
direct
0.000 0.000 0.161
0.000 0.000 0.839
0.000 0.000 0.500
0.500 0.500 0.000
0.500 0.500 0.319
0.500 0.500 0.681



(5)
MgCdPt, relaxed, DFT PBE; uncorrected energy = -3.30 eV/atom; energy of formation from the pure elements = -452.2 meV per atom; N(E_F) = 0.75 states/eV/f.u.; calculated volume = 110.5 Å³ per cell; space-group type = I4mm
1.0
3.145 0.000 0.000
0.000 3.145 0.000
0.000 0.000 11.178
Mg Cd Pt
2 2 2
direct
0.000 0.000 0.000
0.500 0.500 0.500
0.000 0.000 0.301
0.500 0.500 0.801
0.000 0.000 0.636
0.500 0.500 0.136



(6)
MgCdPt2, relaxed, DFT PBE; uncorrected energy = -4.24 eV/atom; energy of formation from the pure elements = -594.9 meV per atom; N(E_F) = 0.94 states/eV/f.u.; calculated volume = 134.4 Å³ per cell; space-group type = Cmmm
1.0
5.952 0.000 0.000
0.000 7.530 0.000
0.000 0.000 2.998
Mg Cd Pt
2 2 4
direct
0.000 0.000 0.000
0.500 0.500 0.000
0.000 0.500 0.000
0.500 0.000 0.000
0.250 0.250 0.500
0.250 0.750 0.500
0.750 0.250 0.500
0.750 0.750 0.500



(7)
Mg2CdPt2, relaxed, DFT PBE; uncorrected energy = -3.53 eV/atom; energy of formation from the pure elements = -291.4 meV per atom; N(E_F) = 2.58 states/eV/f.u.; calculated volume = 201.2 Å³ per cell; space-group type = I4/mmm
1.0
3.869 0.000 0.000
0.000 3.869 0.000
0.000 0.000 13.441
Mg Cd Pt
4 2 4
direct
0.000 0.000 0.114
0.000 0.000 0.886
0.500 0.500 0.386
0.500 0.500 0.614
0.000 0.000 0.500
0.500 0.500 0.000
0.000 0.500 0.250
0.000 0.500 0.750
0.500 0.000 0.250
0.500 0.000 0.750



(8)
MgCdPt2, relaxed, DFT PBE; uncorrected energy = -4.07 eV/atom; energy of formation from the pure elements = -417.6 meV per atom; N(E_F) = 2.12 states/eV/f.u.; calculated volume = 273.8 Å³ per cell; space-group type = F-43m
1.0
6.494 0.000 0.000
0.000 6.494 0.000
0.000 0.000 6.494
Mg Cd Pt
4 4 8
direct
0.000 0.000 0.000
0.000 0.500 0.500
0.500 0.000 0.500
0.500 0.500 0.000
0.250 0.250 0.750
0.250 0.750 0.250
0.750 0.250 0.250
0.750 0.750 0.750
0.000 0.000 0.500
0.000 0.500 0.000
0.250 0.250 0.250
0.250 0.750 0.750
0.500 0.000 0.000
0.500 0.500 0.500
0.750 0.250 0.750
0.750 0.750 0.250



(9)
Mg5Cd2Pt, relaxed, DFT PBE; uncorrected energy = -2.20 eV/atom; energy of formation from the pure elements = -214.8 meV per atom; N(E_F) = 3.78 states/eV/f.u.; calculated volume = 329.8 Å³ per cell; space-group type = I4/mcm
1.0
-3.624 3.624 6.280
3.624 -3.624 6.280
3.624 3.624 -6.280
Mg Cd Pt
10 4 2
direct
0.000 0.000 0.000
0.001 0.501 0.828
0.172 0.001 0.500
0.328 0.828 0.828
0.499 0.328 0.500
0.500 0.500 0.000
0.501 0.672 0.500
0.672 0.172 0.172
0.828 0.999 0.500
0.999 0.499 0.172
0.137 0.363 0.500
0.363 0.863 0.225
0.637 0.137 0.775
0.863 0.637 0.500
0.250 0.250 0.000
0.750 0.750 0.000



(10)
Mg4CdPt5, relaxed, DFT PBE; uncorrected energy = -4.51 eV/atom; energy of formation from the pure elements = -759.8 meV per atom; N(E_F) = 4.93 states/eV/f.u.; calculated volume = 162.3 Å³ per cell; space-group type = P4/mmm
1.0
3.003 0.000 0.000
0.000 3.003 0.000
0.000 0.000 17.997
Mg Cd Pt
4 1 5
direct
0.000 0.000 0.098
0.000 0.000 0.294
0.000 0.000 0.706
0.000 0.000 0.902
0.000 0.000 0.500
0.500 0.500 0.000
0.500 0.500 0.196
0.500 0.500 0.390
0.500 0.500 0.610
0.500 0.500 0.804



(11)
Mg2CdSi2Pt5, relaxed, DFT PBE; uncorrected energy = -5.14 eV/atom; N(E_F) = 3.80 states/eV/f.u.; calculated volume = 328.9 Å³ per cell; space-group type = P4/mbm
1.0
9.462 0.000 0.000
0.000 9.462 0.000
0.000 0.000 3.674
Mg Cd Si Pt
4 2 4 10
direct
0.172 0.328 0.000
0.328 0.828 0.000
0.672 0.172 0.000
0.828 0.672 0.000
0.000 0.000 0.000
0.500 0.500 0.000
0.128 0.628 0.000
0.372 0.128 0.000
0.628 0.872 0.000
0.872 0.372 0.000
0.000 0.500 0.500
0.074 0.790 0.500
0.210 0.074 0.500
0.290 0.574 0.500
0.426 0.290 0.500
0.500 0.000 0.500
0.574 0.710 0.500
0.710 0.426 0.500
0.790 0.926 0.500
0.926 0.210 0.500



(12)
SrMg2CdPt, relaxed, DFT PBE; uncorrected energy = -2.75 eV/atom; energy of formation from the pure elements = -388.8 meV per atom; N(E_F) = 2.91 states/eV/f.u.; calculated volume = 137.0 Å³ per cell; space-group type = P4/mmm
1.0
5.074 0.000 0.000
0.000 5.074 0.000
0.000 0.000 5.324
Sr Mg Cd Pt
1 2 1 1
direct
0.000 0.000 0.000
0.000 0.500 0.500
0.500 0.000 0.500
0.500 0.500 0.000
0.500 0.500 0.500



- The highest uncorrected energy belongs to which entry?
  Mg5Cd2Pt



- Among the records above, which one has the lowest calculated volume?
  Mg2CdPt3



- Among the records above, which one has the lowest N(E_F)?
  number 5



- N(E_F) of number 9 (Mg5Cd2Pt)?
  3.78 states/eV/f.u.